# 1
Material: ZrZnSb
Method: DFT, PBE
State: relaxed

Unit cell a=5.566 b=5.566 c=5.566 alpha=145.81 beta=139.68 gamma=53.87
Positions (direct):
Sb: 0.994 0.994 0.000
Zn: 0.331 0.331 0.000
Zr: 0.676 0.676 0.000

Output
Space-group type ... No. 44

=====

# 2
Material: Zr2ZnSb
Method: DFT, PBE
State: relaxed

Unit cell a=9.839 b=9.839 c=9.839 alpha=19.32 beta=19.32 gamma=19.32
Positions (direct):
Sb: 0.499 0.499 0.499
Zn: 0.748 0.748 0.748
Zr: 0.002 0.002 0.002
Zr: 0.250 0.250 0.250

Output
Space-group type ... No. 160

=====

Total magnetic moment values (in μB/atom) by entry order: 0.000; 0.000.
ΔE_f (raw) values (in eV per atom) by entry order: -0.232; -0.036.
E_tot values (in eV/atom) by entry order: -4.880; -5.659.